VASP calculation (PBE-GGA) on a relaxed OsRhOF2 crystal.

a b c (Å): 4.461 3.671 4.461
angles (deg): 90.00 90.00 90.00
Each line ends with the local moment (μB).
Fractional coordinates of all 5 atoms:
1 Rh 0.000 0.000 0.000  -0.03
2 Os 0.500 0.500 0.500  3.28
3 O 0.000 0.500 0.000  0.06
4 F 0.000 0.000 0.500  0.05
5 F 0.500 0.000 0.000  0.07

## Properties
Its polymorph energy (0 for the lowest one) is 2.60 eV/f.u. The total energy comes out at -5.015 eV/atom. For the uncorrected formation energy, the calculation gives 0.44 eV per atom. As for the spin magnetization: 3.9 Bohr magnetons per cell.

VASP calculation (PBE-GGA) on a relaxed OsRhOF2 crystal.

a b c (Å): 4.382 4.382 3.683
angles (deg): 90.00 90.00 90.00
Each line ends with the local moment (μB).
Fractional coordinates of all 5 atoms:
1 Rh 0.500 0.500 0.500  1.61
2 Os 0.000 0.000 0.000  0.17
3 O 0.000 0.000 0.500  0.02
4 F 0.000 0.500 0.000  0.02
5 F 0.500 0.000 0.000  0.02

## Properties
Its polymorph energy (0 for the lowest one) is 0.00 eV/f.u. The total energy comes out at -5.535 eV/atom. For the uncorrected formation energy, the calculation gives -0.08 eV per atom. As for the spin magnetization: 2.0 Bohr magnetons per cell.

VASP calculation (PBE-GGA) on a relaxed OsRhO2F crystal.

a b c (Å): 3.684 3.684 5.741
angles (deg): 90.00 90.00 90.00
Each line ends with the local moment (μB).
Fractional coordinates of all 5 atoms:
1 Rh 0.500 0.500 0.500  1.85
2 Os 0.000 0.000 0.000  0.24
3 O 0.000 0.500 0.000  0.00
4 O 0.500 0.000 0.000  0.00
5 F 0.000 0.000 0.500  0.12

## Properties
The total energy comes out at -6.259 eV/atom. For the uncorrected formation energy, the calculation gives -0.19 eV per atom. As for the spin magnetization: 2.4 Bohr magnetons per cell.

VASP calculation (PBE-GGA) on a relaxed OsRuO2F crystal.

a b c (Å): 3.658 3.658 6.512
angles (deg): 90.00 90.00 90.00
Each line ends with the local moment (μB).
Fractional coordinates of all 5 atoms:
1 Ru 0.500 0.500 0.500  2.88
2 Os 0.000 0.000 0.000  -0.01
3 O 0.000 0.500 0.000  0.00
4 O 0.500 0.000 0.000  0.00
5 F 0.000 0.000 0.500  0.08

## Properties
The total energy comes out at -6.481 eV/atom. For the uncorrected formation energy, the calculation gives -0.02 eV per atom. As for the spin magnetization: 3.2 Bohr magnetons per cell.

VASP calculation (PBE-GGA) on a relaxed OsRuO2F crystal.

a b c (Å): 3.870 3.870 4.322
angles (deg): 90.00 90.00 90.00
Each line ends with the local moment (μB).
Fractional coordinates of all 5 atoms:
1 Ru 0.000 0.000 0.000  -1.01
2 Os 0.500 0.500 0.500  3.15
3 O 0.000 0.500 0.000  -0.04
4 O 0.500 0.000 0.000  -0.04
5 F 0.000 0.000 0.500  0.04

## Properties
The total energy comes out at -5.964 eV/atom. For the uncorrected formation energy, the calculation gives 0.49 eV per atom. As for the spin magnetization: 2.3 Bohr magnetons per cell.

VASP calculation (PBE-GGA) on a relaxed OsSO2F crystal.

a b c (Å): 3.471 3.471 6.193
angles (deg): 90.00 90.00 90.00
Each line ends with the local moment (μB).
Fractional coordinates of all 5 atoms:
1 S 0.000 0.000 0.000  0.00
2 Os 0.500 0.500 0.500  3.15
3 O 0.000 0.500 0.000  0.02
4 O 0.500 0.000 0.000  0.02
5 F 0.000 0.000 0.500  0.11

## Properties
The total energy comes out at -4.575 eV/atom. For the uncorrected formation energy, the calculation gives 0.85 eV per atom. As for the spin magnetization: 3.7 Bohr magnetons per cell.

VASP calculation (PBE-GGA) on a relaxed OsSO2F crystal.

a b c (Å): 3.818 3.818 4.323
angles (deg): 90.00 90.00 90.00
Fractional coordinates of all 5 atoms:
1 S 0.500 0.500 0.500
2 Os 0.000 0.000 0.000
3 O 0.000 0.500 0.000
4 O 0.500 0.000 0.000
5 F 0.000 0.000 0.500

## Properties
The total energy comes out at -5.501 eV/atom. For the uncorrected formation energy, the calculation gives -0.07 eV per atom. As for the spin magnetization: 0.0 Bohr magnetons per cell.

VASP calculation (PBE-GGA) on a relaxed SbOsOF2 crystal.

a b c (Å): 4.633 4.633 3.654
angles (deg): 90.00 90.00 90.00
Fractional coordinates of all 5 atoms:
1 Sb 0.500 0.500 0.500
2 Os 0.000 0.000 0.000
3 O 0.000 0.000 0.500
4 F 0.000 0.500 0.000
5 F 0.500 0.000 0.000

## Properties
Its polymorph energy (0 for the lowest one) is 0.00 eV/f.u. The total energy comes out at -5.228 eV/atom. For the uncorrected formation energy, the calculation gives -0.42 eV per atom. As for the spin magnetization: 0.0 Bohr magnetons per cell.